# 1
Material: ReTcSeN2
Method: DFT, GGA-PBEsol
State: relaxed

```
ReTcSeN2
1.0
3.803 0.000 0.000
0.000 3.803 0.000
0.000 0.000 5.278
Re Tc Se N
1 1 1 2
Cartesian
0.000 0.000 0.000
1.902 1.902 2.639
0.000 0.000 2.639
0.000 1.902 0.000
1.902 0.000 0.000
```

Values from the calculation:
DOS at the Fermi energy = 0.537 states/eV per atom
M_tot = 3.8 Bohr magnetons per cell
total energy = -41.1 eV per cell

=====

# 2
Material: ZnReSe2N
Method: DFT, GGA-PBEsol
State: relaxed

```
ZnReSe2N
1.0
4.985 0.000 0.000
0.000 4.985 0.000
0.000 0.000 3.706
Zn Re Se N
1 1 2 1
Cartesian
0.000 0.000 0.000
2.493 2.493 1.853
0.000 2.493 1.853
2.493 0.000 1.853
2.493 2.493 0.000
```

Values from the calculation:
DOS at the Fermi energy = 0.483 states/eV per atom
M_tot = 0.0 Bohr magnetons per cell
total energy = -29.7 eV per cell

=====

# 3
Material: ZrReSeN2
Method: DFT, GGA-PBEsol
State: relaxed

```
ZrReSeN2
1.0
4.026 0.000 0.000
0.000 4.026 0.000
0.000 0.000 5.530
Zr Re Se N
1 1 1 2
Cartesian
0.000 0.000 0.000
2.013 2.013 2.765
0.000 0.000 2.765
0.000 2.013 0.000
2.013 0.000 0.000
```

Values from the calculation:
DOS at the Fermi energy = 0.758 states/eV per atom
M_tot = 4.6 Bohr magnetons per cell
total energy = -37.7 eV per cell

=====

# 4
Material: Sr2ReN3
Method: DFT, GGA-PBEsol
State: relaxed

```
Sr2ReN3
1.0
2.716 -5.626 0.000
2.716 5.626 0.000
-1.245 0.000 12.332
Sr Re N
8 4 12
Cartesian
0.746 2.244 4.397
0.126 1.256 11.394
0.748 -1.256 5.228
0.124 -2.244 10.564
4.063 2.244 1.769
3.438 1.256 7.105
4.061 -1.256 0.938
3.440 -2.244 7.935
1.360 0.038 2.137
0.737 -0.038 8.303
3.450 0.038 4.029
2.827 -0.038 10.195
1.782 5.616 9.249
1.460 1.824 1.593
0.733 0.969 6.747
1.356 -0.969 0.580
1.782 1.436 9.249
0.837 -1.824 7.760
3.350 1.824 4.573
2.405 -1.436 3.083
2.831 0.969 11.752
3.454 -0.969 5.586
2.727 -1.824 10.739
2.405 -5.616 3.083
```

Values from the calculation:
DOS at the Fermi energy = 0.158 states/eV per atom
M_tot = 0.0 Bohr magnetons per cell
total energy = -189.9 eV per cell

=====

# 5
Material: SrReN2
Method: DFT, GGA-PBEsol
State: relaxed

```
SrReN2
1.0
2.528 -6.341 0.000
2.528 6.341 0.000
0.000 0.000 7.314
Sr Re N
4 4 8
Cartesian
2.528 4.226 6.674
2.528 2.115 3.017
2.528 -2.115 4.297
2.528 -4.226 0.640
2.528 5.470 2.507
2.528 0.871 6.165
2.528 -0.871 1.150
2.528 -5.470 4.807
1.264 2.197 5.486
2.528 5.186 4.368
2.528 1.155 0.711
1.264 -2.197 1.829
3.792 2.197 5.486
2.528 -1.155 6.603
2.528 -5.186 2.946
3.792 -2.197 1.829
```

Values from the calculation:
DOS at the Fermi energy = 0.003 states/eV per atom
M_tot = 0.0 Bohr magnetons per cell
total energy = -138.6 eV per cell

=====

# 6
Material: SrReTe2N
Method: DFT, GGA-PBEsol
State: relaxed

```
SrReTe2N
1.0
5.987 0.000 0.000
0.000 5.987 0.000
0.000 0.000 4.523
Sr Re Te N
1 1 2 1
Cartesian
0.000 0.000 0.000
2.994 2.994 2.261
0.000 2.994 0.000
2.994 0.000 0.000
0.000 0.000 2.261
```

Values from the calculation:
DOS at the Fermi energy = 0.646 states/eV per atom
M_tot = 2.0 Bohr magnetons per cell
total energy = -20.9 eV per cell

=====

# 7
Material: TaReN2
Method: DFT, GGA-PBEsol
State: relaxed

```
TaReN2
1.0
2.892 0.000 0.000
-1.446 2.505 0.000
0.000 0.000 19.810
Ta Re N
3 3 6
Cartesian
0.000 0.000 0.000
0.000 1.670 13.207
1.446 0.835 6.603
0.000 0.000 9.905
0.000 1.670 3.302
1.446 0.835 16.508
0.000 0.000 2.039
0.000 0.000 17.771
0.000 1.670 11.168
0.000 1.670 15.246
1.446 0.835 4.564
1.446 0.835 8.643
```

Values from the calculation:
DOS at the Fermi energy = 0.882 states/eV per atom
M_tot = 0.0 Bohr magnetons per cell
total energy = -127.9 eV per cell

=====

# 8
Material: Re3TcN
Method: DFT, GGA-PBEsol
State: relaxed

```
Re3TcN
1.0
4.012 0.000 0.000
0.000 4.012 0.000
0.000 0.000 4.012
Re Tc N
3 1 1
Cartesian
0.000 0.000 2.006
0.000 2.006 0.000
2.006 0.000 0.000
2.006 2.006 2.006
0.000 0.000 0.000
```

Values from the calculation:
DOS at the Fermi energy = 0.887 states/eV per atom
M_tot = 0.0 Bohr magnetons per cell
total energy = -58.9 eV per cell

=====

# 9
Material: Re2TeN
Method: DFT, GGA-PBEsol
State: relaxed

```
Re2TeN
1.0
6.086 0.000 0.000
0.000 6.086 0.000
0.000 0.000 6.086
Re Te N
8 4 4
Cartesian
1.522 1.522 1.522
1.522 1.522 4.565
1.522 4.565 1.522
1.522 4.565 4.565
4.565 1.522 1.522
4.565 1.522 4.565
4.565 4.565 1.522
4.565 4.565 4.565
0.000 0.000 0.000
0.000 3.043 3.043
3.043 0.000 3.043
3.043 3.043 0.000
0.000 0.000 3.043
0.000 3.043 0.000
3.043 0.000 0.000
3.043 3.043 3.043
```

Values from the calculation:
DOS at the Fermi energy = 0.568 states/eV per atom
M_tot = 0.0 Bohr magnetons per cell
total energy = -133.5 eV per cell

=====

# 10
Material: ReTe2N
Method: DFT, GGA-PBEsol
State: relaxed

```
ReTe2N
1.0
3.967 0.000 0.000
-1.983 3.435 0.000
0.000 0.000 19.660
Re Te N
3 6 3
Cartesian
0.000 0.000 0.000
0.000 2.290 13.106
1.983 1.145 6.553
0.000 0.000 7.905
0.000 0.000 11.754
0.000 2.290 1.352
0.000 2.290 5.201
1.983 1.145 14.458
1.983 1.145 18.307
0.000 0.000 9.830
0.000 2.290 3.277
1.983 1.145 16.383
```

Values from the calculation:
DOS at the Fermi energy = 0.970 states/eV per atom
M_tot = 0.0 Bohr magnetons per cell
total energy = -74.9 eV per cell

=====

# 11
Material: Re3TeN
Method: DFT, GGA-PBEsol
State: relaxed

```
Re3TeN
1.0
4.139 0.000 0.000
0.000 4.139 0.000
0.000 0.000 4.139
Re Te N
3 1 1
Cartesian
0.000 0.000 2.070
0.000 2.070 0.000
2.070 0.000 0.000
2.070 2.070 2.070
0.000 0.000 0.000
```

Values from the calculation:
DOS at the Fermi energy = 1.196 states/eV per atom
M_tot = 0.0 Bohr magnetons per cell
total energy = -48.3 eV per cell

=====

# 12
Material: YReTe2N
Method: DFT, GGA-PBEsol
State: relaxed

```
YReTe2N
1.0
5.757 0.000 0.000
0.000 5.757 0.000
0.000 0.000 3.996
Y Re Te N
1 1 2 1
Cartesian
0.000 0.000 0.000
2.879 2.879 1.998
0.000 2.879 0.000
2.879 0.000 0.000
0.000 0.000 1.998
```

Values from the calculation:
DOS at the Fermi energy = 0.745 states/eV per atom
M_tot = 3.5 Bohr magnetons per cell
total energy = -29.2 eV per cell

=====

# 13
Material: TiReN2
Method: DFT, GGA-PBEsol
State: relaxed

```
TiReN2
1.0
2.919 0.000 0.000
-1.460 2.528 0.000
0.000 0.000 18.300
Ti Re N
3 3 6
Cartesian
0.000 0.000 0.000
0.000 1.685 12.200
1.460 0.843 6.100
0.000 0.000 9.150
0.000 1.685 3.050
1.460 0.843 15.250
0.000 0.000 7.241
0.000 0.000 11.060
0.000 1.685 1.140
0.000 1.685 4.960
1.460 0.843 13.341
1.460 0.843 17.160
```

Values from the calculation:
DOS at the Fermi energy = 0.593 states/eV per atom
M_tot = 0.0 Bohr magnetons per cell
total energy = -123.1 eV per cell

=====

# 14
Material: Tl3ReN
Method: DFT, GGA-PBEsol
State: relaxed

```
Tl3ReN
1.0
5.261 0.000 0.000
0.000 5.261 0.000
0.000 0.000 5.261
Tl Re N
3 1 1
Cartesian
0.000 0.000 2.630
0.000 2.630 0.000
2.630 0.000 0.000
0.000 0.000 0.000
2.630 2.630 2.630
```

Values from the calculation:
DOS at the Fermi energy = 0.445 states/eV per atom
M_tot = 3.4 Bohr magnetons per cell
total energy = -21.8 eV per cell

=====

# 15
Material: YReN3
Method: DFT, GGA-PBEsol
State: relaxed

```
YReN3
1.0
5.518 -4.778 0.000
5.518 4.778 0.000
-2.470 0.000 5.750
Y Re N
4 4 12
Cartesian
3.666 3.902 4.312
4.900 1.995 1.437
3.666 -1.995 4.312
4.900 -3.902 1.437
1.286 0.828 4.486
2.521 -0.828 1.611
6.045 0.828 4.138
7.280 -0.828 1.263
-0.399 1.027 3.803
2.082 2.402 4.851
0.835 -1.027 0.928
3.661 0.110 0.461
2.427 -0.110 3.336
5.249 2.402 3.773
3.317 -2.402 1.976
6.139 0.110 2.413
4.904 -0.110 5.288
7.730 1.027 4.821
6.483 -2.402 0.898
8.965 -1.027 1.947
```

Values from the calculation:
DOS at the Fermi energy = 0.426 states/eV per atom
M_tot = 0.0 Bohr magnetons per cell
total energy = -198.2 eV per cell

=====

# 16
Material: YReN3
Method: DFT, GGA-PBEsol
State: relaxed

```
YReN3
1.0
2.749 1.587 4.373
-2.749 1.587 4.373
0.000 -3.175 4.373
Y Re N
2 2 6
Cartesian
0.000 0.000 3.279
0.000 0.000 9.838
0.000 0.000 0.000
0.000 0.000 6.559
-1.587 0.425 5.466
-1.162 -1.162 7.652
0.425 -1.587 5.466
-0.425 1.587 7.652
1.162 1.162 5.466
1.587 -0.425 7.652
```

Values from the calculation:
DOS at the Fermi energy = 0.245 states/eV per atom
M_tot = 0.0 Bohr magnetons per cell
total energy = -99.8 eV per cell

=====

# 17
Material: YReN3
Method: DFT, GGA-PBEsol
State: relaxed

```
YReN3
1.0
5.571 0.000 0.000
0.000 7.664 0.000
0.000 0.000 5.337
Y Re N
4 4 12
Cartesian
0.351 1.916 0.062
2.435 5.748 2.730
3.137 1.916 2.606
5.220 5.748 5.274
0.000 0.000 2.668
0.000 3.832 2.668
2.786 0.000 0.000
2.786 3.832 0.000
0.102 5.748 2.226
1.123 4.168 4.282
1.123 7.328 4.282
1.663 0.336 1.614
1.663 3.496 1.614
2.684 1.916 4.894
2.888 5.748 0.443
3.908 4.168 3.723
3.908 7.328 3.723
4.449 0.336 1.055
4.449 3.496 1.055
5.469 1.916 3.111
```

Values from the calculation:
DOS at the Fermi energy = 0.182 states/eV per atom
M_tot = 0.0 Bohr magnetons per cell
total energy = -200.5 eV per cell

=====

# 18
Material: Ta2RuRhN
Method: DFT, GGA-PBEsol
State: relaxed

```
Ta2RuRhN
1.0
4.678 0.000 0.000
0.000 4.678 0.000
0.000 0.000 4.534
Ta Ru Rh N
2 1 1 1
Cartesian
0.000 2.339 0.000
2.339 0.000 0.000
0.000 0.000 0.000
0.000 0.000 2.267
2.339 2.339 2.267
```

Values from the calculation:
DOS at the Fermi energy = 1.167 states/eV per atom
M_tot = 0.6 Bohr magnetons per cell
total energy = -40.5 eV per cell

=====

# 19
Material: RhSeSN2
Method: DFT, GGA-PBEsol
State: relaxed

```
RhSeSN2
1.0
3.703 0.000 0.000
0.000 3.703 0.000
0.000 0.000 5.268
Rh Se S N
1 1 1 2
Cartesian
0.000 0.000 0.000
1.852 1.852 2.634
0.000 0.000 2.634
0.000 1.852 0.000
1.852 0.000 0.000
```

Values from the calculation:
DOS at the Fermi energy = 0.584 states/eV per atom
M_tot = 0.0 Bohr magnetons per cell
total energy = -28.5 eV per cell

=====

# 20
Material: TaRhS2N
Method: DFT, GGA-PBEsol
State: relaxed

```
TaRhS2N
1.0
4.787 0.000 0.000
0.000 4.787 0.000
0.000 0.000 3.807
Ta Rh S N
1 1 2 1
Cartesian
0.000 0.000 0.000
2.393 2.393 1.903
0.000 2.393 0.000
2.393 0.000 0.000
0.000 0.000 1.903
```

Values from the calculation:
energy relative to the lowest polymorph listed for this composition = 0 meV/atom
DOS at the Fermi energy = 1.281 states/eV per atom
M_tot = 0.0 Bohr magnetons per cell

=====

# 21
Material: TaRhS2N
Method: DFT, GGA-PBEsol
State: relaxed

```
TaRhS2N
1.0
4.699 0.000 0.000
0.000 4.699 0.000
0.000 0.000 3.547
Ta Rh S N
1 1 2 1
Cartesian
0.000 0.000 0.000
2.349 2.349 1.773
0.000 2.349 1.773
2.349 0.000 1.773
2.349 2.349 0.000
```

Values from the calculation:
energy relative to the lowest polymorph listed for this composition = 196 meV/atom
DOS at the Fermi energy = 0.760 states/eV per atom
M_tot = 1.7 Bohr magnetons per cell

=====

# 22
Material: TiRhSN2
Method: DFT, GGA-PBEsol
State: relaxed

```
TiRhSN2
1.0
3.743 0.000 0.000
0.000 3.743 0.000
0.000 0.000 4.806
Ti Rh S N
1 1 1 2
Cartesian
0.000 0.000 0.000
1.871 1.871 2.403
1.871 1.871 0.000
0.000 1.871 2.403
1.871 0.000 2.403
```

Values from the calculation:
DOS at the Fermi energy = 1.007 states/eV per atom
M_tot = 1.3 Bohr magnetons per cell
total energy = -35.0 eV per cell

=====

# 23
Material: ZrRhS2N
Method: DFT, GGA-PBEsol
State: relaxed

```
ZrRhS2N
1.0
4.732 0.000 0.000
0.000 4.732 0.000
0.000 0.000 3.587
Zr Rh S N
1 1 2 1
Cartesian
0.000 0.000 0.000
2.366 2.366 1.793
0.000 2.366 1.793
2.366 0.000 1.793
2.366 2.366 0.000
```

Values from the calculation:
DOS at the Fermi energy = 0.699 states/eV per atom
M_tot = 0.4 Bohr magnetons per cell
total energy = -35.0 eV per cell

=====

# 24
Material: Zr2RhSN
Method: DFT, GGA-PBEsol
State: relaxed

```
Zr2RhSN
1.0
4.422 0.000 0.000
0.000 4.422 0.000
0.000 0.000 3.923
Zr Rh S N
2 1 1 1
Cartesian
0.000 2.211 0.000
2.211 0.000 0.000
0.000 0.000 1.962
2.211 2.211 1.962
2.211 2.211 0.000
```

Values from the calculation:
DOS at the Fermi energy = 0.733 states/eV per atom
M_tot = 0.0 Bohr magnetons per cell
total energy = -41.5 eV per cell

=====

# 25
Material: SbRh2N
Method: DFT, GGA-PBEsol
State: relaxed

```
SbRh2N
1.0
6.036 0.000 0.000
0.000 6.036 0.000
0.000 0.000 6.036
Sb Rh N
4 8 4
Cartesian
0.000 0.000 0.000
0.000 3.018 3.018
3.018 0.000 3.018
3.018 3.018 0.000
1.509 1.509 1.509
1.509 1.509 4.527
1.509 4.527 1.509
1.509 4.527 4.527
4.527 1.509 1.509
4.527 1.509 4.527
4.527 4.527 1.509
4.527 4.527 4.527
0.000 0.000 3.018
0.000 3.018 0.000
3.018 0.000 0.000
3.018 3.018 3.018
```

Values from the calculation:
DOS at the Fermi energy = 1.128 states/eV per atom
M_tot = 5.0 Bohr magnetons per cell
total energy = -106.4 eV per cell